Record 1
Here is crystalline RbSmEr2 at its relaxed geometry from the Alexandria database. Energies are from PBE.

Summary:
- Energy of formation: 0.32 eV/atom
- Magnetic moment: 0.00 μB per formula unit
- Fermi-level density of states: 1.3133 states/eV/atom

```
data_RbSmEr2
_space_group_name_H-M_alt 'R -3 m'
_space_group_IT_number 166
_space_group_name_Hall '-R 3 2"'
_cell_length_a 3.6164
_cell_length_b 3.6164
_cell_length_c 39.5212
_cell_angle_alpha 90.00
_cell_angle_beta 90.00
_cell_angle_gamma 120.00
loop_
_atom_site_label
_atom_site_type_symbol
_atom_site_fract_x
_atom_site_fract_y
_atom_site_fract_z
_atom_site_occupancy
Rb1 Rb 0.0000 0.0000 0.0000 1
Sm1 Sm 0.0000 0.0000 0.5000 1
Er1 Er 0.0000 0.0000 0.0952 1
```



Record 2
Here is crystalline Rb4SmEr3Te8 at its relaxed geometry from the Alexandria database. Energies are from PBE.

Summary:
- Magnetic moment: 0.00 μB per formula unit
- Formation energy (no corrections): -1376 meV per atom

```
data_Rb4SmEr3Te8
_space_group_name_H-M_alt 'R -3 m'
_space_group_IT_number 166
_space_group_name_Hall '-R 3 2"'
_cell_length_a 9.0496
_cell_length_b 9.0496
_cell_length_c 25.6588
_cell_angle_alpha 90.00
_cell_angle_beta 90.00
_cell_angle_gamma 120.00
loop_
_atom_site_label
_atom_site_type_symbol
_atom_site_fract_x
_atom_site_fract_y
_atom_site_fract_z
_atom_site_occupancy
Rb1 Rb 0.0000 0.0000 0.0000 1
Rb2 Rb 0.0000 0.5000 0.0000 1
Sm1 Sm 0.0000 0.0000 0.5000 1
Er1 Er 0.0000 0.5000 0.5000 1
Te1 Te 0.0000 0.0000 0.2323 1
Te2 Te 0.0058 0.5029 0.7668 1
```